No. 1
Compound: LiTb2SmSe4
Source: the Alexandria database
Functional: PBE
Structure: relaxed

Values from the calculation:
Uncorrected formation energy (meV per atom): -1757

Cell lengths 7.0958, 4.0830, 7.0977 Å; angles 90.00, 109.28, 90.00 degrees
Closest atoms and distances in Å follow each position.
Space group P2/m (No. 10)
Symmetry-distinct sites (fractional):
Li 0.0000 0.0000 0.0000  6 Se 2.84-2.86
Tb 0.5000 0.0000 0.5000  6 Se 2.93-2.95
Tb 0.5000 0.5000 0.0000  6 Se 2.87
Sm 0.0000 0.5000 0.5000  6 Se 2.92
Se 0.2466 0.5000 0.2424  2 Li 2.86, 3 Tb 2.87-2.93, 1 Sm 2.92
Se 0.2496 0.0000 0.7590  1 Li 2.84, 3 Tb 2.87-2.95, 2 Sm 2.92

No. 2
Compound: LaFeSi2
Source: the Alexandria database
Functional: PBE
Structure: relaxed

Values from the calculation:
Uncorrected formation energy (meV per atom): -41

Cell lengths 2.9029, 5.6010, 9.2056 Å; angles 90.00, 90.00, 90.00 degrees
Closest atoms and distances in Å follow each position.
Space group Immm (No. 71)
Symmetry-distinct sites (fractional):
La 0.0000 0.0000 0.0000  2 La 2.90, 4 Si 3.13, 4 Fe 3.15
Fe 0.0000 0.0000 0.5000  4 Si 2.34
Si 0.0000 0.5000 0.1993  2 Fe 2.34

No. 3
Compound: Er2Al3Au9
Source: the Alexandria database
Functional: PBE
Structure: relaxed

Values from the calculation:
ΔE_f (kJ per mole of atoms): -58.42

Cell lengths 13.6893, 7.8940, 10.8186 Å; angles 90.00, 115.31, 90.00 degrees
Closest atoms and distances in Å follow each position.
Space group C2/c (No. 15)
Symmetry-distinct sites (fractional):
Er 0.1677 0.0831 0.2474  11 Au 3.08-3.21
Al 0.0861 0.2388 0.4985  8 Au 2.58-2.87
Al 0.2500 0.2500 0.0000  8 Au 2.61-2.72
Au 0.0000 0.3499 0.2500  2 Al 2.58
Au 0.0599 0.0810 0.9273  3 Al 2.62-2.75, 1 Au 2.91
Au 0.1111 0.4104 0.0754  3 Al 2.69-2.87, 4 Au 2.90-2.98
Au 0.1147 0.3033 0.7454  2 Al 2.58-2.61
Au 0.2276 0.4173 0.4344  3 Al 2.64-2.71, 4 Au 2.94-2.96

No. 4
Compound: CaPa2CoN4
Source: the Alexandria database
Functional: PBE
Structure: relaxed

Values from the calculation:
Uncorrected formation energy (meV per atom): -1242

Cell lengths 3.5049, 11.5752, 11.4797 Å; angles 90.00, 90.00, 90.00 degrees
Closest atoms and distances in Å follow each position.
Space group Cmcm (No. 63)
Symmetry-distinct sites (fractional):
Ca 0.0000 0.0952 0.2500  2 N 2.51
Pa 0.0000 0.3678 0.0618  6 N 2.28-2.43
Co 0.0000 0.1673 0.7500  4 N 1.98-2.15
N 0.0000 0.0000 0.0000  4 Pa 2.43
N 0.0000 0.2613 0.6054  1 Co 1.98
N 0.0000 0.4397 0.2500  2 Co 2.15, 2 Pa 2.31

No. 5
Compound: Ca2CuPdN
Source: the Alexandria database
Functional: PBE
Structure: relaxed

Values from the calculation:
Uncorrected formation energy (meV per atom): 763

Cell lengths 5.2342, 5.2342, 4.4678 Å; angles 90.00, 90.00, 90.00 degrees
Closest atoms and distances in Å follow each position.
Space group P4/mmm (No. 123)
Symmetry-distinct sites (fractional):
Ca 0.0000 0.5000 0.0000  2 Cu 2.62
Cu 0.0000 0.0000 0.0000  2 Pd 2.23
Pd 0.0000 0.0000 0.5000  2 Cu 2.23
N 0.5000 0.5000 0.5000  8 Ca 3.44, 4 Pd 3.70

No. 6
Compound: Pr4Dy2Mg
Source: the Alexandria database
Functional: PBE
Structure: relaxed

Values from the calculation:
ΔE_f (kJ per mole of atoms): 2.85

Cell lengths 20.9096, 3.6332, 12.2671 Å; angles 90.00, 90.00, 90.00 degrees
Closest atoms and distances in Å follow each position.
Space group Pnma (No. 62)
Symmetry-distinct sites (fractional):
Pr 0.0015 0.2500 0.1234  2 Mg 3.48, 4 Dy 3.49-3.60, 6 Pr 3.53-3.63
Pr 0.0924 0.7500 0.3211  4 Dy 3.51-3.73, 8 Pr 3.58-3.66
Pr 0.1964 0.2500 0.5046  3 Dy 3.44-3.73, 7 Pr 3.47-3.63, 1 Mg 3.78
Pr 0.2348 0.2500 0.2293  2 Mg 3.42, 7 Pr 3.47-3.66, 2 Dy 3.66
Dy 0.0507 0.7500 0.5984  2 Mg 3.43, 6 Pr 3.51-3.73, 4 Dy 3.63-3.69
Dy 0.1395 0.7500 0.0280  2 Mg 3.43, 7 Pr 3.44-3.73, 2 Dy 3.63
Mg 0.1314 0.2500 0.7917  5 Pr 3.42-3.78, 4 Dy 3.43, 2 Mg 3.63